A) DFT (PBE-GGA) results for a relaxed structure of GePb2S4.

Results
Magnetic moment: 0.00 Bohr magnetons per cell
Fermi-level density of states: 0.00 states/eV/cell

a = 14.326 Å, b = 14.326 Å, c = 14.657 Å
α = 90.00°, β = 90.00°, γ = 90.00°
Space group I-42d (No. 122)
Symmetry-distinct sites (fractional):
Ge  0.024  0.224  0.344 x16
Pb  0.000  0.000  0.144 x8
Pb  0.020  0.750  0.625 x8
Pb  0.165  0.750  0.125 x8
Pb  0.228  0.250  0.125 x8
S  0.064  0.687  0.439 x16
S  0.075  0.626  0.974 x16
S  0.090  0.176  0.005 x16
S  0.134  0.167  0.437 x16


B) DFT (PBE-GGA) results for a relaxed structure of GePb2S4.

Results
Magnetic moment: 0.00 Bohr magnetons per cell
Fermi-level density of states: 0.00 states/eV/cell

a = 8.069 Å, b = 9.540 Å, c = 10.940 Å
α = 90.00°, β = 114.77°, γ = 90.00°
Space group P2_1/c (No. 14)
Symmetry-distinct sites (fractional):
Ge  0.218  0.190  0.007 x4
Pb  0.103  0.540  0.853 x4
Pb  0.458  0.665  0.660 x4
S  0.054  0.704  0.094 x4
S  0.249  0.024  0.873 x4
S  0.288  0.092  0.207 x4
S  0.423  0.138  0.555 x4


C) DFT (PBE-GGA) results for a relaxed structure of GePb2S4.

Results
Magnetic moment: 0.00 Bohr magnetons per cell

a = 9.246 Å, b = 8.085 Å, c = 6.409 Å
α = 90.00°, β = 119.38°, γ = 90.00°
Space group Cm (No. 8)
Symmetry-distinct sites (fractional):
Ge  0.000  0.000  0.000 x2
Pb  0.378  0.238  0.486 x4
S  0.030  0.000  0.376 x2
S  0.114  0.236  0.988 x4
S  0.251  0.500  0.646 x2


D) DFT (PBE-GGA) results for a relaxed structure of GePb2S4.

Results
Magnetic moment: 0.00 Bohr magnetons per cell
Fermi-level density of states: 0.00 states/eV/cell

a = 6.860 Å, b = 6.633 Å, c = 8.410 Å
α = 90.00°, β = 107.64°, γ = 90.00°
Space group P2_1/m (No. 11)
Symmetry-distinct sites (fractional):
Ge  0.219  0.250  0.293 x2
Pb  0.234  0.750  0.057 x2
Pb  0.258  0.750  0.560 x2
S  0.000  0.007  0.772 x4
S  0.393  0.250  0.564 x2
S  0.426  0.250  0.135 x2


It is C) that is the least stable of them.


A) DFT (PBE-GGA) results for a relaxed structure of GePb2S3.

Results
Magnetic moment: 0.00 Bohr magnetons per cell

a = 4.086 Å, b = 5.839 Å, c = 12.438 Å
α = 90.00°, β = 90.00°, γ = 90.00°
Space group Immm (No. 71)
Symmetry-distinct sites (fractional):
Ge  0.000  0.000  0.000 x2
Pb  0.000  0.000  0.332 x4
S  0.000  0.500  0.000 x2
S  0.000  0.500  0.350 x4


B) DFT (PBE-GGA) results for a relaxed structure of GePb2S3.

Results
Magnetic moment: 0.00 Bohr magnetons per cell

a = 13.060 Å, b = 5.946 Å, c = 8.240 Å
α = 90.00°, β = 108.45°, γ = 90.00°
Space group C2/c (No. 15)
Symmetry-distinct sites (fractional):
Ge  0.000  0.034  0.250 x4
Pb  0.171  0.496  0.086 x8
S  0.000  0.443  0.250 x4
S  0.154  0.004  0.077 x8


It is A) that is the least stable of them.


A) DFT (PBE-GGA) results for a relaxed structure of Ge2PbS2.

Results
Magnetic moment: 0.00 Bohr magnetons per cell
Fermi-level density of states: 6.43 states/eV/cell

a = 8.152 Å, b = 8.152 Å, c = 3.602 Å
α = 90.00°, β = 90.00°, γ = 90.00°
Space group P4/mbm (No. 127)
Symmetry-distinct sites (fractional):
Ge  0.153  0.347  0.000 x4
Pb  0.000  0.000  0.000 x2
S  0.206  0.706  0.500 x4


B) DFT (PBE-GGA) results for a relaxed structure of Ge2PbS2.

Results
Magnetic moment: 0.00 Bohr magnetons per cell
Fermi-level density of states: 3.62 states/eV/cell

a = 5.147 Å, b = 5.147 Å, c = 8.699 Å
α = 90.00°, β = 90.00°, γ = 90.00°
Space group I4/mmm (No. 139)
Symmetry-distinct sites (fractional):
Ge  0.000  0.000  0.158 x4
Pb  0.000  0.000  0.500 x2
S  0.000  0.500  0.250 x4


It is A) that is the least stable of them.